1.
P2SeSO (PBE, optimized geometry); formation energy (no corrections) = 862 meV/atom; symmetry = P4/mmm, No. 123; energy above the lowest structure with this stoichiometry = 31.4 kJ/mol of atoms
1.0
-3.3408 -2.2356 1.4826
1.5476 -3.5404 -1.8513
2.1663 -0.8977 3.5277
P S O Se
2 1 1 1
direct
0.0000 0.5000 0.0000 P
0.5000 0.0000 0.0000 P
0.0000 0.0000 0.5000 S
0.0000 0.0000 0.0000 O
0.5000 0.5000 0.5000 Se


2.
Y4SiSbSe2 (PBE, optimized geometry); formation energy (no corrections) = -1413 meV/atom; symmetry = P2/m, No. 10
1.0
4.1858 0.0000 0.0000
0.0000 7.2385 -0.1387
0.0000 2.5535 6.8344
Y Si Sb Se
4 1 1 2
direct
0.0000 0.7478 0.7361 Y
0.0000 0.2522 0.2639 Y
0.5000 0.7402 0.2654 Y
0.5000 0.2598 0.7346 Y
0.0000 0.5000 0.5000 Si
0.5000 0.5000 0.0000 Sb
0.0000 0.0000 0.0000 Se
0.5000 0.0000 0.5000 Se


3.
InAsP2O (PBE, optimized geometry); formation energy (no corrections) = 371 meV/atom; symmetry = P4/mmm, No. 123; energy above the lowest structure with this stoichiometry = 14.5 kJ/mol of atoms
1.0
-1.7171 0.4257 3.7809
-2.6724 -4.1195 -0.7498
3.0713 -2.2933 1.6530
P As O In
2 1 1 1
direct
0.0000 0.0000 0.5000 P
0.5000 0.0000 0.0000 P
0.5000 0.5000 0.5000 As
0.0000 0.0000 0.0000 O
0.0000 0.5000 0.0000 In


4.
ReNi (PBE, optimized geometry); formation energy = 208 meV/atom; symmetry = P2_12_12_1, No. 19
1.0
4.0430 0.0000 0.0000
0.0000 7.0482 0.0000
0.0000 0.0000 7.6960
Re Ni
8 8
direct
0.3095 0.6503 0.9041 Re
0.8095 0.8497 0.0959 Re
0.6905 0.1503 0.5959 Re
0.1905 0.3497 0.4041 Re
0.2206 0.3310 0.7414 Re
0.7206 0.1690 0.2586 Re
0.7794 0.8310 0.7586 Re
0.2794 0.6690 0.2414 Re
0.2731 0.3140 0.0722 Ni
0.7731 0.1860 0.9278 Ni
0.7269 0.8140 0.4278 Ni
0.2269 0.6860 0.5722 Ni
0.2763 0.0112 0.8875 Ni
0.7763 0.4888 0.1125 Ni
0.7237 0.5112 0.6125 Ni
0.2237 0.9888 0.3875 Ni


5.
TmTiP (PBE, optimized geometry); formation energy = -1103 meV/atom; symmetry = P4/nmm, No. 129
1.0
3.8574 0.0000 0.0000
0.0000 3.8574 0.0000
0.0000 0.0000 7.3512
Tm Ti P
2 2 2
direct
0.0000 0.5000 0.8536 Tm
0.5000 0.0000 0.1464 Tm
0.5000 0.5000 0.5000 Ti
0.0000 0.0000 0.5000 Ti
0.0000 0.5000 0.2569 P
0.5000 0.0000 0.7431 P


6.
NaErTm (PBE, optimized geometry); formation energy = 87 meV/atom; symmetry = P4/nmm, No. 129; energy above the lowest structure with this stoichiometry = 0.0 kJ/mol of atoms
1.0
3.4684 0.0000 0.0000
0.0000 3.4684 0.0000
0.0000 0.0000 16.0918
Tm Er Na
2 2 2
direct
0.0000 0.5000 0.5782 Tm
0.5000 0.0000 0.4218 Tm
0.5000 0.0000 0.7285 Er
0.0000 0.5000 0.2715 Er
0.0000 0.5000 0.9051 Na
0.5000 0.0000 0.0949 Na


7.
VFeH (PBE, optimized geometry); symmetry = Cmcm, No. 63; energy above the lowest structure with this stoichiometry = 1.3 kJ/mol of atoms
1.0
2.6169 0.0000 -0.7907
0.0002 4.0346 0.0006
0.0360 -0.0003 4.8579
V Fe H
2 2 2
direct
0.2649 0.1155 0.9930 V
0.9654 0.6154 0.3926 V
0.6910 0.6151 0.8433 Fe
0.5389 0.1151 0.5423 Fe
0.3049 0.6160 0.0710 H
0.9252 0.1157 0.3146 H


8.
Ac8Ge3PdI4 (PBE, optimized geometry); formation energy (no corrections) = -964 meV/atom; symmetry = R-3m, No. 166
1.0
-2.2861 2.1474 -8.7063
-4.4137 -8.5533 -0.9508
-2.5476 5.5479 6.9555
Ac Ge Pd I
8 3 1 4
direct
0.2309 0.7010 0.9701 Ac
0.2309 0.7010 0.4618 Ac
0.2648 0.2943 0.5296 Ac
0.7393 0.7010 0.9701 Ac
0.2607 0.2990 0.0299 Ac
0.7352 0.7057 0.4704 Ac
0.7691 0.2990 0.5382 Ac
0.7691 0.2990 0.0299 Ac
0.5000 0.5000 0.0000 Ge
0.5000 0.5000 0.5000 Ge
0.0000 0.5000 0.5000 Ge
0.0000 0.5000 0.0000 Pd
0.5000 0.0000 0.0000 I
0.5000 0.0000 0.5000 I
0.0000 0.0000 0.0000 I
0.0000 0.0000 0.5000 I


9.
Cd2PW (PBE, optimized geometry); formation energy = 797 meV/atom; symmetry = I-42d, No. 122; energy above the lowest structure with this stoichiometry = 65.3 kJ/mol of atoms
1.0
-2.0707 1.2525 -7.9564
5.8722 -5.3879 -2.3764
0.3041 -3.8663 -5.0340
P W Cd
2 2 4
direct
0.5000 0.5000 0.0000 P
0.2500 0.7500 0.5000 P
0.0000 0.0000 0.0000 W
0.7500 0.2500 0.5000 W
0.5568 0.1250 0.2500 Cd
0.1932 0.6250 0.2500 Cd
0.3750 0.4432 0.7500 Cd
0.8750 0.8068 0.7500 Cd


10.
NdEuAg2 (PBE, optimized geometry); formation energy = -275 meV/atom; symmetry = P4/mmm, No. 123; energy above the lowest structure with this stoichiometry = 0.0 kJ/mol of atoms
1.0
3.7883 0.0000 0.0000
0.0000 3.7883 0.0000
0.0000 0.0000 7.5919
Eu Nd Ag
1 1 2
direct
0.5000 0.5000 0.5000 Eu
0.5000 0.5000 0.0000 Nd
0.0000 0.0000 0.7688 Ag
0.0000 0.0000 0.2312 Ag


11.
LiAlSnBr2 (PBE, optimized geometry); formation energy (no corrections) = -196 meV/atom; symmetry = P4/mmm, No. 123
1.0
-0.9305 4.7774 2.1351
-3.9444 -2.1509 3.0938
3.5514 -1.0161 3.8214
Li Sn Br Al
1 1 2 1
direct
0.5000 0.5000 0.5000 Li
0.0000 0.5000 0.0000 Sn
0.0000 0.0000 0.5000 Br
0.5000 0.0000 0.0000 Br
0.0000 0.0000 0.0000 Al


12.
KSr4Cl (PBE, optimized geometry); formation energy (no corrections) = 1 meV/atom; symmetry = F-43m, No. 216
1.0
-1.4476 4.6554 6.4031
-6.9594 4.0004 0.5757
-5.4891 -2.2376 5.4434
K Sr Cl
1 4 1
direct
0.0000 0.0000 0.0000 K
0.8773 0.3742 0.3742 Sr
0.3742 0.3742 0.8773 Sr
0.3742 0.8773 0.3742 Sr
0.3742 0.3742 0.3742 Sr
0.7500 0.7500 0.7500 Cl


13.
BaP2 (PBE, optimized geometry); formation energy = -386 meV/atom; symmetry = Pa-3, No. 205
1.0
7.5189 0.0000 0.0000
0.0000 7.5189 0.0000
0.0000 0.0000 7.5189
P Ba
8 4
direct
0.5789 0.5789 0.4211 P
0.4211 0.4211 0.5789 P
0.0789 0.9211 0.5789 P
0.9211 0.0789 0.4211 P
0.4211 0.0789 0.0789 P
0.5789 0.9211 0.9211 P
0.9211 0.4211 0.9211 P
0.0789 0.5789 0.0789 P
0.0000 0.0000 0.0000 Ba
0.5000 0.5000 0.0000 Ba
0.5000 0.0000 0.5000 Ba
0.0000 0.5000 0.5000 Ba


14.
HgSbIr2 (PBE, optimized geometry); formation energy (no corrections) = 373 meV/atom; symmetry = Imm2, No. 44; energy above the lowest structure with this stoichiometry = 4.8 kJ/mol of atoms
1.0
-3.9644 4.7152 -1.4699
-1.5344 2.4453 -5.6371
0.4468 -4.8080 4.0980
Hg Ir Sb
1 2 1
direct
0.2784 0.7784 0.5000 Hg
0.9525 0.9525 0.0000 Ir
0.7301 0.2301 0.5000 Ir
0.5390 0.5390 0.0000 Sb


15.
Dy3HfRh4 (PBE, optimized geometry); formation energy = -884 meV/atom; symmetry = P4/mmm, No. 123
1.0
-1.2023 -2.1653 -2.2403
2.8629 -1.7153 0.1216
-5.1376 -7.8419 10.3365
Rh Hf Dy
4 1 3
direct
0.0000 0.0000 0.8908 Rh
0.0000 0.0000 0.1092 Rh
0.0000 0.0000 0.3714 Rh
0.0000 0.0000 0.6286 Rh
0.5000 0.5000 0.0000 Hf
0.5000 0.5000 0.2459 Dy
0.5000 0.5000 0.5000 Dy
0.5000 0.5000 0.7541 Dy


16.
Re2MoPb (PBE, optimized geometry); formation energy = 682 meV/atom; symmetry = P2/m, No. 10
1.0
4.0996 0.0000 0.0000
0.0000 2.9702 0.0165
0.0000 2.9646 5.8690
Mo Pb Re
1 1 2
direct
0.5000 0.2500 0.2500 Mo
0.5000 0.7500 0.7500 Pb
0.0000 0.9594 0.0459 Re
0.0000 0.5406 0.4541 Re


17.
Ni2Hg2Se (PBE, optimized geometry); formation energy (no corrections) = 155 meV/atom; symmetry = P4/mbm, No. 127; energy above the lowest structure with this stoichiometry = 0.0 kJ/mol of atoms
1.0
-4.3894 -2.2787 4.2386
2.9859 -5.7887 -0.0199
2.3521 1.2027 3.0823
Ni Hg Se
4 4 2
direct
0.3516 0.8516 0.0000 Ni
0.8516 0.6484 0.0000 Ni
0.6484 0.1484 0.0000 Ni
0.1484 0.3516 0.0000 Ni
0.1572 0.6572 0.5000 Hg
0.6572 0.8428 0.5000 Hg
0.8428 0.3428 0.5000 Hg
0.3428 0.1572 0.5000 Hg
0.0000 0.0000 0.0000 Se
0.5000 0.5000 0.0000 Se


18.
AlCd3Mo (PBE, optimized geometry); formation energy = 1141 meV/atom; symmetry = Pm-3m, No. 221
1.0
5.3894 0.0000 0.0000
0.0000 5.3894 0.0000
0.0000 0.0000 5.3894
Mo Al Cd
1 1 3
direct
0.0000 0.0000 0.0000 Mo
0.5000 0.5000 0.5000 Al
0.0000 0.5000 0.0000 Cd
0.0000 0.0000 0.5000 Cd
0.5000 0.0000 0.0000 Cd


19.
P2PtAu (PBE, optimized geometry); formation energy = 238 meV/atom; symmetry = P4mm, No. 99; energy above the lowest structure with this stoichiometry = 41.8 kJ/mol of atoms
1.0
2.9742 0.0359 0.0000
-0.0359 2.9742 0.0000
0.0000 0.0000 7.6115
Au P Pt
1 2 1
direct
0.5000 0.5000 0.7585 Au
0.0000 0.0000 0.9801 P
0.5000 0.5000 0.2974 P
0.0000 0.0000 0.4640 Pt


20.
KMg3Ta (PBE, optimized geometry); formation energy = 1854 meV/atom; symmetry = Pm-3m, No. 221; energy above the lowest structure with this stoichiometry = 88.0 kJ/mol of atoms
1.0
-4.3781 -2.2541 -0.9546
1.8337 -1.7240 -4.3388
1.6217 -4.1360 2.3288
K Mg Ta
1 3 1
direct
0.0000 0.0000 0.0000 K
0.0000 0.5000 0.0000 Mg
0.0000 0.0000 0.5000 Mg
0.5000 0.0000 0.0000 Mg
0.5000 0.5000 0.5000 Ta


21.
ZnSnRu (PBE, optimized geometry); formation energy = 110 meV/atom; symmetry = P-6m2, No. 187
1.0
-1.8116 2.5920 0.3300
-3.5182 -2.3495 -0.8598
1.3633 0.4343 4.0731
Ru Zn Sn
1 1 1
direct
0.1668 0.0000 0.0000 Ru
0.1667 0.6667 0.3333 Zn
0.6665 0.3333 0.6667 Sn


22.
Ca4Cd2Pt (PBE, optimized geometry); formation energy = -366 meV/atom; symmetry = I4/mmm, No. 139
1.0
5.4366 0.0000 0.0000
0.0000 5.4366 0.0000
2.7183 2.7183 8.1368
Ca Pt Cd
4 1 2
direct
0.8234 0.8234 0.3532 Ca
0.1766 0.1766 0.6468 Ca
0.0000 0.5000 0.0000 Ca
0.5000 0.0000 0.0000 Ca
0.0000 0.0000 0.0000 Pt
0.6249 0.6249 0.7502 Cd
0.3751 0.3751 0.2498 Cd


23.
Hf2CdN (PBE, optimized geometry); formation energy (no corrections) = 662 meV/atom; symmetry = Fm-3m, No. 225; energy above the lowest structure with this stoichiometry = 154.9 kJ/mol of atoms
1.0
-1.4558 -2.0965 3.8353
0.4752 2.0789 4.0838
-3.7107 1.5838 2.2242
N Hf Cd
1 2 1
direct
0.0000 0.0000 0.0000 N
0.2500 0.2500 0.2500 Hf
0.7500 0.7500 0.7500 Hf
0.5000 0.5000 0.5000 Cd


24.
Ba2AlCu (PBE, optimized geometry); formation energy = 168 meV/atom; symmetry = F-43m, No. 216
1.0
0.0444 4.9003 2.4791
-3.8955 -1.7223 3.4670
4.6635 -2.8526 -0.5244
Ba Cu Al
2 1 1
direct
0.0000 0.0000 0.0000 Ba
0.2500 0.7500 0.5000 Ba
0.5000 0.5000 0.0000 Cu
0.7500 0.2500 0.5000 Al


25.
BaBPt3 (PBE, optimized geometry); formation energy = -368 meV/atom; symmetry = Imma, No. 74; energy above the lowest structure with this stoichiometry = 0.0 kJ/mol of atoms
1.0
-2.2806 -4.8032 -2.4982
4.1594 -3.9599 -3.0912
1.1974 -5.6939 2.9466
Ba B Pt
2 2 6
direct
0.5000 0.5000 0.5000 Ba
0.5000 0.0000 0.0000 Ba
0.9469 0.8031 0.3031 B
0.0531 0.1969 0.6969 B
0.1424 0.7983 0.9168 Pt
0.1424 0.4168 0.2983 Pt
0.8576 0.5832 0.7017 Pt
0.8576 0.2017 0.0832 Pt
0.5000 0.0000 0.5000 Pt
0.0000 0.0000 0.5000 Pt


26.
CrTc3Pd (PBE, optimized geometry); formation energy = 1169 meV/atom; symmetry = Pm-3m, No. 221
1.0
4.3818 0.0000 0.0000
0.0000 4.3818 0.0000
0.0000 0.0000 4.3818
Cr Tc Pd
1 3 1
direct
0.0000 0.0000 0.0000 Cr
0.0000 0.5000 0.0000 Tc
0.0000 0.0000 0.5000 Tc
0.5000 0.0000 0.0000 Tc
0.5000 0.5000 0.5000 Pd